A geometry-optimized TbNdSb structure, computed with PBE.

a b c (Å): 4.0986 4.0986 5.8935
angles (deg): 110.35 110.35 90.00
With the nearest neighbours (Å) after each atom.
Fractional coordinates of all 3 atoms:
1 Nd 0.9603 0.9603 0.9207  5 Tb 3.16-3.51, 5 Sb 3.34-3.48
2 Sb 0.6215 0.6215 0.2429  5 Tb 3.27-3.63, 5 Nd 3.34-3.48
3 Tb 0.2682 0.2682 0.5364  5 Nd 3.16-3.51, 4 Sb 3.27

ΔE_f (raw) ... -653.7 meV/atom
Density of states at the Fermi level ... 1.195 states/eV per atom
Space group ... I4mm, No. 107